1.
A geometry-optimized Li5Al2Au12 structure, computed with PBE.

Geometry as POSCAR:
```
Li5Al2Au12
1.0
-2.920 2.037 -2.160
-8.556 -2.243 5.457
-5.072 4.994 7.573
Al Au Li
2 12 5
direct
0.000 0.748 0.252
0.000 0.252 0.748
0.089 0.911 0.911
0.590 0.166 0.655
0.087 0.413 0.413
0.410 0.345 0.834
0.200 0.053 0.547
0.800 0.947 0.453
0.410 0.834 0.345
0.911 0.089 0.089
0.800 0.453 0.947
0.913 0.587 0.587
0.200 0.547 0.053
0.590 0.655 0.166
0.309 0.192 0.192
0.695 0.305 0.305
0.500 0.000 0.000
0.691 0.808 0.808
0.305 0.695 0.695
```

Output
- excess energy over the best structure of this formula in the dataset (meV/atom) = 0
- crystal system = monoclinic
- DFT formation energy (eV/atom) = -0.4255
- DOS at the Fermi energy (states/eV/atom) = 0.32

=====

2.
A geometry-optimized VAgSnAu structure, computed with PBE.

Geometry as POSCAR:
```
VAgSnAu
1.0
-1.761 -3.284 2.885
2.788 -3.416 1.662
1.222 -0.039 4.551
V Sn Au Ag
1 1 1 1
direct
0.500 0.500 0.500
0.250 0.250 0.250
0.750 0.750 0.750
0.000 0.000 0.000
```

Output
- crystal system = cubic
- DFT formation energy (eV/atom) = 0.1203
- DOS at the Fermi energy (states/eV/atom) = 0.56

=====

3.
A geometry-optimized Mg2TlZn2 structure, computed with PBE.

Geometry as POSCAR:
```
Mg2TlZn2
1.0
-2.113 2.889 -0.944
-1.123 -1.810 -3.027
-7.686 -2.559 2.117
Zn Mg Tl
2 2 1
direct
0.750 0.250 0.500
0.250 0.750 0.500
0.609 0.609 0.783
0.391 0.391 0.217
0.000 0.000 0.000
```

Output
- excess energy over the best structure of this formula in the dataset (meV/atom) = 50
- crystal system = tetragonal
- DFT formation energy (eV/atom) = 0.0358
- DOS at the Fermi energy (states/eV/atom) = 0.34

=====

4.
A geometry-optimized Na2PtS structure, computed with PBE.

Geometry as POSCAR:
```
Na2PtS
1.0
10.593 0.000 0.000
0.000 10.593 0.000
5.296 5.296 2.272
Na Pt S
4 2 2
direct
0.376 0.625 0.250
0.374 0.125 0.250
0.375 0.626 0.750
0.875 0.624 0.750
0.000 0.000 0.000
0.750 0.250 0.500
0.500 0.500 0.000
0.250 0.750 0.500
```

Output
- crystal system = tetragonal
- formation energy (no corrections) (eV/atom) = -0.449
- DOS at the Fermi energy (states/eV/atom) = 0.87

=====

5.
A geometry-optimized FeSnOs2Cl structure, computed with PBE.

Geometry as POSCAR:
```
FeSnOs2Cl
1.0
4.511 0.000 0.000
0.000 5.024 0.000
0.000 0.000 4.511
Os Sn Fe Cl
2 1 1 1
direct
0.500 0.000 0.000
0.000 0.000 0.500
0.000 0.500 0.000
0.000 0.000 0.000
0.500 0.500 0.500
```

Output
- crystal system = tetragonal
- formation energy (no corrections) (eV/atom) = 1.479
- DOS at the Fermi energy (states/eV/atom) = 1.16

=====

6.
A geometry-optimized AcPuPaN3 structure, computed with PBE.

Geometry as POSCAR:
```
AcPuPaN3
1.0
-3.117 0.371 -1.922
0.304 -7.176 -1.877
-4.754 -0.406 7.630
Ac Pa Pu N
2 2 2 6
direct
0.250 0.164 0.153
0.750 0.836 0.847
0.750 0.345 0.855
0.250 0.655 0.145
0.750 0.954 0.419
0.250 0.046 0.581
0.250 0.774 0.388
0.250 0.562 0.890
0.750 0.875 0.156
0.250 0.125 0.844
0.750 0.226 0.612
0.750 0.438 0.110
```

Output
- crystal system = monoclinic
- formation energy (no corrections) (eV/atom) = -0.989
- DOS at the Fermi energy (states/eV/atom) = 0.90

=====

7.
A geometry-optimized MgCr2Ag structure, computed with PBE.

Geometry as POSCAR:
```
MgCr2Ag
1.0
4.851 0.320 0.000
1.006 4.757 0.000
-2.929 -2.538 2.935
Cr Mg Ag
2 1 1
direct
0.250 0.750 0.500
0.000 0.000 0.000
0.500 0.500 0.000
0.750 0.250 0.500
```

Output
- crystal system = tetragonal
- DFT formation energy (eV/atom) = 0.3353
- DOS at the Fermi energy (states/eV/atom) = 0.55

=====

8.
A geometry-optimized Nd2Y3Tm5 structure, computed with PBE.

Geometry as POSCAR:
```
Nd2Y3Tm5
1.0
-4.628 -3.352 -7.566
0.288 -9.400 -0.446
-4.468 5.971 8.245
Tm Y Nd
10 6 4
direct
0.652 0.896 0.268
0.116 0.372 0.268
0.522 0.272 0.544
0.884 0.628 0.732
0.268 0.518 0.037
0.732 0.482 0.963
0.972 0.222 0.443
0.478 0.728 0.456
0.028 0.778 0.557
0.348 0.104 0.732
0.038 0.770 0.259
0.278 0.511 0.741
0.229 0.979 0.959
0.722 0.489 0.259
0.962 0.230 0.741
0.771 0.021 0.041
0.518 0.282 0.250
0.482 0.718 0.750
0.767 0.031 0.750
0.233 0.969 0.250
```

Output
- crystal system = monoclinic
- DFT formation energy (eV/atom) = 0.1955
- DOS at the Fermi energy (states/eV/atom) = 1.71

=====

9.
A geometry-optimized BaPSe2 structure, computed with PBE.

Geometry as POSCAR:
```
BaPSe2
1.0
-1.418 7.003 -4.359
-0.355 -4.533 7.028
7.292 2.849 2.206
Se P Ba
2 1 1
direct
0.000 0.000 0.205
0.000 0.000 0.795
0.500 0.500 0.000
0.500 0.500 0.500
```

Output
- excess energy over the best structure of this formula in the dataset (meV/atom) = 537
- crystal system = orthorhombic
- formation energy (no corrections) (eV/atom) = -0.372
- DOS at the Fermi energy (states/eV/atom) = 0.38

=====

10.
A geometry-optimized Na2CdIn2 structure, computed with PBE.

Geometry as POSCAR:
```
Na2CdIn2
1.0
7.581 0.000 0.000
0.000 7.581 0.000
0.000 0.000 5.001
In Cd Na
4 2 4
direct
0.137 0.363 0.000
0.863 0.637 0.000
0.363 0.863 0.000
0.637 0.137 0.000
0.500 0.500 0.000
0.000 0.000 0.000
0.832 0.332 0.500
0.668 0.832 0.500
0.332 0.168 0.500
0.168 0.668 0.500
```

Output
- excess energy over the best structure of this formula in the dataset (meV/atom) = 40
- crystal system = tetragonal
- DFT formation energy (eV/atom) = -0.0532
- DOS at the Fermi energy (states/eV/atom) = 0.57

=====

11.
A geometry-optimized Pm12Sn5Rh2 structure, computed with PBE.

Geometry as POSCAR:
```
Pm12Sn5Rh2
1.0
-2.986 -4.777 -5.217
2.296 -4.341 8.312
-8.981 3.850 1.615
Pm Sn Rh
12 5 2
direct
0.420 0.321 0.082
0.580 0.679 0.918
0.497 0.994 0.755
0.005 0.009 0.824
0.905 0.300 0.574
0.503 0.006 0.245
0.995 0.991 0.176
0.095 0.700 0.426
0.100 0.679 0.918
0.395 0.300 0.574
0.605 0.700 0.426
0.900 0.321 0.082
0.304 0.608 0.640
0.689 0.378 0.833
0.311 0.622 0.167
0.000 0.000 0.500
0.696 0.392 0.360
0.296 0.000 0.000
0.704 0.000 0.000
```

Output
- crystal system = monoclinic
- DFT formation energy (eV/atom) = -0.4551
- DOS at the Fermi energy (states/eV/atom) = 1.04

=====

12.
A geometry-optimized ZnFe3B structure, computed with PBE.

Geometry as POSCAR:
```
ZnFe3B
1.0
3.838 0.000 0.000
0.000 3.838 0.000
0.000 0.000 3.838
B Fe Zn
1 3 1
direct
0.000 0.000 0.000
0.000 0.000 0.500
0.000 0.500 0.000
0.500 0.000 0.000
0.500 0.500 0.500
```

Output
- excess energy over the best structure of this formula in the dataset (meV/atom) = 0
- crystal system = cubic
- DFT formation energy (eV/atom) = 0.0475
- DOS at the Fermi energy (states/eV/atom) = 0.80